First-principles (GGA-PBE) data for an optimized crystal structure of GeHO2, as listed in the Alexandria database.

energy = -4.442 eV per atom
DOS at the Fermi energy = 0.21 states/eV/atom
ΔE to the lowest computed polymorph = 1112 meV/atom

Cell and atoms, written as extended XYZ:
```
4
Lattice="1.3115 -2.5970 -1.9733 1.0497 -2.9963 1.5096 -1.8500 -2.9509 -0.4774" Properties=species:S:1:pos:R:3 pbc="T T T"
H 0.0000 0.0000 0.0000
O 0.1278 -2.1361 -0.2353
Ge 0.2556 -4.2721 -0.4705
O 0.3834 -6.4082 -0.7058
```